Arrangement a

Density functional theory data (PBE) for a relaxed structure of Tb2CeSc.

Density of states at the Fermi level in states/eV per atom: 1.96

The structure in POSCAR format:
```
Tb2CeSc
1.0
3.348 0.000 0.000
1.674 2.900 0.000
1.674 0.967 12.016
Tb Sc Ce
2 1 1
direct
0.091 0.091 0.728
0.909 0.909 0.272
0.500 0.500 0.500
0.000 0.000 0.000
```


Arrangement b

Density functional theory data (PBE) for a relaxed structure of Tb2CeSc.

Density of states at the Fermi level in states/eV per atom: 2.08

The structure in POSCAR format:
```
Tb2CeSc
1.0
-2.943 0.119 1.814
0.336 -3.356 0.765
5.079 2.351 8.085
Tb Sc Ce
2 1 1
direct
0.000 0.000 0.757
0.000 0.000 0.243
0.500 0.500 0.000
0.500 0.500 0.500
```


Arrangement c

Density functional theory data (PBE) for a relaxed structure of Tb2CeSc.

Density of states at the Fermi level in states/eV per atom: 2.54

The structure in POSCAR format:
```
Tb2CeSc
1.0
5.548 0.000 0.000
2.774 4.805 0.000
2.774 1.602 4.530
Tb Sc Ce
2 1 1
direct
0.250 0.250 0.250
0.750 0.750 0.750
0.000 0.000 0.000
0.500 0.500 0.500
```


Of them, the most stable is arrangement b and the least stable is arrangement c.


Arrangement a

Density functional theory data (PBE) for a relaxed structure of TbCe2Sc.

Density of states at the Fermi level in states/eV per atom: 3.35

The structure in POSCAR format:
```
TbCe2Sc
1.0
5.510 0.000 0.000
2.755 4.772 0.000
2.755 1.591 4.499
Ce Sc Tb
2 1 1
direct
0.750 0.750 0.750
0.250 0.250 0.250
0.500 0.500 0.500
0.000 0.000 0.000
```


Arrangement b

Density functional theory data (PBE) for a relaxed structure of TbCe2Sc.

Density of states at the Fermi level in states/eV per atom: 2.55

The structure in POSCAR format:
```
TbCe2Sc
1.0
-4.181 2.472 1.130
0.756 -0.843 4.642
2.492 4.063 0.332
Ce Tb Sc
2 1 1
direct
0.000 0.500 0.000
0.000 0.000 0.500
0.500 0.500 0.500
0.500 0.000 0.000
```


Of them, the most stable is arrangement b and the least stable is arrangement a.


Arrangement a

Density functional theory data (PBE) for a relaxed structure of TbCe2Sc.

Density of states at the Fermi level in states/eV per atom: 2.62

The structure in POSCAR format:
```
TbCe2Sc
1.0
-2.471 -0.041 2.331
-0.486 -2.766 1.912
6.208 3.120 9.110
Sc Ce Tb
1 2 1
direct
0.499 0.499 0.503
0.086 0.086 0.741
0.246 0.246 0.261
0.668 0.668 0.995
```


Arrangement b

Density functional theory data (PBE) for a relaxed structure of TbCe2Sc.

Density of states at the Fermi level in states/eV per atom: 2.54

The structure in POSCAR format:
```
TbCe2Sc
1.0
3.394 0.000 0.000
0.000 3.394 0.000
0.000 0.000 9.888
Ce Sc Tb
2 1 1
direct
0.000 0.000 0.760
0.000 0.000 0.240
0.500 0.500 0.000
0.500 0.500 0.500
```


Of them, the most stable is arrangement a and the least stable is arrangement b.